This record from Alexandria describes ZnSb2Os after structural relaxation. The functional is PBE.

Lattice parameters (Å, degrees): 3.2376 3.2376 7.9562 90.00 90.00 90.00
Last column: nearest neighbours and their distance in Å.
Element x y z (fractional)
1 Zn 0.0000 0.0000 0.0000  4 Os 2.65, 5 Sb 2.95
2 Sb 0.0000 0.0000 0.3703  4 Os 2.80, 1 Zn 2.95
3 Sb 0.5000 0.5000 0.7662  4 Zn 2.95, 1 Os 3.20, 4 Sb 3.24
4 Os 0.5000 0.5000 0.1680  4 Zn 2.65, 4 Sb 2.80

Computed properties:
N(E_F) (states/eV per atom): 0.332
Calculated density (g/cm3): 9.94
Electronic total energy (eV per formula unit): -19.83
Energy relative to the elements, uncorrected (meV/atom): 230



This record from Alexandria describes Sr2Ti2Sb after structural relaxation. The functional is PBE.

Lattice parameters (Å, degrees): 7.3862 7.3862 5.3694 90.00 90.00 90.00
Last column: nearest neighbours and their distance in Å.
Element x y z (fractional)
1 Sr 0.1741 0.3259 0.0000  6 Ti 3.37-3.52, 1 Sr 3.64
2 Sr 0.3259 0.8259 0.0000  6 Ti 3.37-3.52, 1 Sr 3.64
3 Sr 0.6741 0.1741 0.0000  6 Ti 3.37-3.52, 1 Sr 3.64
4 Sr 0.8259 0.6741 0.0000  6 Ti 3.37-3.52, 1 Sr 3.64
5 Ti 0.1304 0.6304 0.5000  1 Ti 2.72, 2 Sb 2.89
6 Ti 0.3696 0.1304 0.5000  1 Ti 2.72, 2 Sb 2.89
7 Ti 0.6304 0.8696 0.5000  1 Ti 2.72, 2 Sb 2.89
8 Ti 0.8696 0.3696 0.5000  1 Ti 2.72, 2 Sb 2.89
9 Sb 0.0000 0.0000 0.5000  4 Ti 2.89
10 Sb 0.5000 0.5000 0.5000  4 Ti 2.89

Computed properties:
N(E_F) (states/eV per atom): 1.344
Calculated density (g/cm3): 4.45
Electronic total energy (eV per formula unit): -22.64
Energy relative to the elements, uncorrected (meV/atom): 128



What is the N(E_F) in the first record?
0.332 states/eV per atom